Computed, not measured: an optimized crystal structure of Dy4Er6Tm19 at the PBE level of DFT.

abc: 10.6396 10.6396 10.6396
angles: 109.47 109.47 109.47
Fractional coordinates of all 29 atoms:
Dy1 0.0000 0.0000 0.6434
Dy2 0.0000 0.6434 0.0000
Dy3 0.3566 0.3566 0.3566
Dy4 0.6434 0.0000 0.0000
Er1 0.1293 0.6293 0.5000
Er2 0.3707 0.5000 0.8707
Er3 0.5000 0.1293 0.6293
Er4 0.5000 0.8707 0.3707
Er5 0.6293 0.5000 0.1293
Er6 0.8707 0.3707 0.5000
Tm1 0.0000 0.0000 0.0000
Tm2 0.0000 0.2631 0.2631
Tm3 0.0000 0.7369 0.7369
Tm4 0.0130 0.8020 0.3390
Tm5 0.1980 0.2111 0.5370
Tm6 0.2111 0.5370 0.1980
Tm7 0.2631 0.0000 0.2631
Tm8 0.2631 0.2631 0.0000
Tm9 0.3260 0.7889 0.9870
Tm10 0.3390 0.0130 0.8020
Tm11 0.4630 0.6740 0.6610
Tm12 0.5370 0.1980 0.2111
Tm13 0.6610 0.4630 0.6740
Tm14 0.6740 0.6610 0.4630
Tm15 0.7369 0.0000 0.7369
Tm16 0.7369 0.7369 0.0000
Tm17 0.7889 0.9870 0.3260
Tm18 0.8020 0.3390 0.0130
Tm19 0.9870 0.3260 0.7889

The formation energy comes out at 0.40 eV per atom.